Here is a geometry-optimized BeCoTc structure from the Alexandria database. Energies are from GGA-PBE.

## Properties
E in eV per atom: -7.22
Offset from the most stable computed form in meV per atom: 84
DFT formation energy in kJ per mole of atoms: -14.8
Density in g cm⁻³: 8.5

a b c (Å): 2.6706 2.6706 9.1002
angles (deg): 90.00 90.00 90.00
With the nearest neighbours (Å) after each atom.
Positions (direct):
Be 0.0000 0.0000 0.0000  4 Co 2.25, 4 Tc 2.50
Be 0.5000 0.5000 0.5000  4 Co 2.25, 4 Tc 2.50
Co 0.0000 0.0000 0.6352  4 Be 2.25
Co 0.5000 0.5000 0.1352  4 Be 2.25
Tc 0.0000 0.0000 0.3206  4 Be 2.50, 4 Co 2.53, 4 Tc 2.67
Tc 0.5000 0.5000 0.8206  4 Be 2.50, 4 Co 2.53, 4 Tc 2.67